Record 1
Entry from the Alexandria database: crystalline La7TbPr4 at its relaxed geometry (PBE-GGA).

```
data_La7TbPr4
_cell_length_a 6.487
_cell_length_b 7.462
_cell_length_c 9.294
_cell_angle_alpha 89.95
_cell_angle_beta 76.51
_cell_angle_gamma 89.86
_space_group_name_H-M_alt 'P -1'
_space_group_IT_number 2
_space_group_name_Hall '-P 1'
loop_
_atom_site_label
_atom_site_type_symbol
_atom_site_fract_x
_atom_site_fract_y
_atom_site_fract_z
La1 La 0.000 0.000 0.000
La2 La 0.219 0.502 0.331
La3 La 0.280 0.251 0.669
La4 La 0.500 0.253 0.000
Tb1 Tb 0.000 0.500 0.000
Pr1 Pr 0.224 0.000 0.331
Pr2 Pr 0.277 0.748 0.672
```

Results
Calculated density in g/cm³: 6.4
Calculated formation energy in kJ/mol of atoms: 1.5
Energy in eV/f.u.: -58.056
Polymorph energy (0 for the lowest one) in eV/f.u.: 0.00
M_tot in μB/f.u.: 0.0
Density of states at the Fermi level in states/eV/cell: 19.87



Record 2
Entry from the Alexandria database: crystalline LaTb2Pr6 at its relaxed geometry (PBE-GGA).

```
data_LaTb2Pr6
_cell_length_a 3.691
_cell_length_b 9.035
_cell_length_c 9.754
_cell_angle_alpha 89.50
_cell_angle_beta 79.12
_cell_angle_gamma 89.90
_space_group_name_H-M_alt 'P -1'
_space_group_IT_number 2
_space_group_name_Hall '-P 1'
loop_
_atom_site_label
_atom_site_type_symbol
_atom_site_fract_x
_atom_site_fract_y
_atom_site_fract_z
La1 La 0.000 0.000 0.000
Tb1 Tb 0.445 0.666 0.111
Pr1 Pr 0.109 0.664 0.782
Pr2 Pr 0.220 0.335 0.558
Pr3 Pr 0.334 0.001 0.333
```

Results
Calculated density in g/cm³: 6.8
Calculated formation energy in kJ/mol of atoms: 1.7
Energy in eV/f.u.: -42.708
Polymorph energy (0 for the lowest one) in eV/f.u.: 0.00
M_tot in μB/f.u.: 0.0
Density of states at the Fermi level in states/eV/cell: 15.44



Record 3
Entry from the Alexandria database: crystalline La6Tb5Pr at its relaxed geometry (PBE-GGA).

```
data_La6Tb5Pr
_cell_length_a 6.299
_cell_length_b 7.379
_cell_length_c 8.986
_cell_angle_alpha 89.96
_cell_angle_beta 88.74
_cell_angle_gamma 89.87
_space_group_name_H-M_alt 'P -1'
_space_group_IT_number 2
_space_group_name_Hall '-P 1'
loop_
_atom_site_label
_atom_site_type_symbol
_atom_site_fract_x
_atom_site_fract_y
_atom_site_fract_z
La1 La 0.000 0.248 0.000
La2 La 0.331 0.249 0.335
La3 La 0.332 0.751 0.335
Tb1 Tb 0.166 0.500 0.666
Tb2 Tb 0.168 0.000 0.667
Tb3 Tb 0.500 0.000 0.000
Pr1 Pr 0.500 0.500 0.000
```

Results
Calculated density in g/cm³: 7.0
Calculated formation energy in kJ/mol of atoms: 1.9
Energy in eV/f.u.: -57.260
M_tot in μB/f.u.: 0.0
Density of states at the Fermi level in states/eV/cell: 18.39



Record 4
Entry from the Alexandria database: crystalline LaTb5Pr6 at its relaxed geometry (PBE-GGA).

```
data_LaTb5Pr6
_cell_length_a 5.185
_cell_length_b 15.584
_cell_length_c 10.267
_cell_angle_alpha 90.00
_cell_angle_beta 90.04
_cell_angle_gamma 90.00
_space_group_name_H-M_alt 'C 1 2/m 1'
_space_group_IT_number 12
_space_group_name_Hall '-C 2y'
loop_
_atom_site_label
_atom_site_type_symbol
_atom_site_fract_x
_atom_site_fract_y
_atom_site_fract_z
La1 La 0.000 0.000 0.000
Tb1 Tb 0.000 0.000 0.500
Tb2 Tb 0.000 0.331 0.000
Tb3 Tb 0.000 0.333 0.500
Pr1 Pr 0.000 0.167 0.252
Pr2 Pr 0.000 0.500 0.253
```

Results
Calculated density in g/cm³: 7.1
Calculated formation energy in kJ/mol of atoms: 1.6
Energy in eV/f.u.: -56.552
M_tot in μB/f.u.: 0.0
Density of states at the Fermi level in states/eV/cell: 35.46



Record 5
Entry from the Alexandria database: crystalline La6TbPr12 at its relaxed geometry (PBE-GGA).

```
data_La6TbPr12
_cell_length_a 13.8725
_cell_length_b 13.8725
_cell_length_c 12.7257
_cell_angle_alpha 90.00
_cell_angle_beta 90.00
_cell_angle_gamma 120.00
_space_group_name_H-M_alt 'R -3 m'
_space_group_IT_number 166
_space_group_name_Hall '-R 3 2"'
loop_
_atom_site_label
_atom_site_type_symbol
_atom_site_fract_x
_atom_site_fract_y
_atom_site_fract_z
La1 La 0.0460 0.5230 0.1138
Tb1 Tb 0.0000 0.0000 0.5000
Pr1 Pr 0.0000 0.2560 0.0000
Pr2 Pr 0.0898 0.1796 0.7629
```

Results
Calculated density in g/cm³: 6.3
Calculated formation energy in kJ/mol of atoms: 17.0
Energy in eV/f.u.: -88.196
Polymorph energy (0 for the lowest one) in eV/f.u.: 1.30
M_tot in μB/f.u.: 0.0
Density of states at the Fermi level in states/eV/cell: 112.54



Record 6
Entry from the Alexandria database: crystalline LaTb12Pr6 at its relaxed geometry (PBE-GGA).

```
data_LaTb12Pr6
_cell_length_a 11.2167
_cell_length_b 11.2167
_cell_length_c 17.7092
_cell_angle_alpha 90.00
_cell_angle_beta 90.00
_cell_angle_gamma 120.00
_space_group_name_H-M_alt 'R -3 m'
_space_group_IT_number 166
_space_group_name_Hall '-R 3 2"'
loop_
_atom_site_label
_atom_site_type_symbol
_atom_site_fract_x
_atom_site_fract_y
_atom_site_fract_z
La1 La 0.0000 0.0000 0.0000
Tb1 Tb 0.1043 0.5522 0.4150
Tb2 Tb 0.1062 0.2124 0.4096
Pr1 Pr 0.0707 0.5354 0.7648
```

Results
Calculated density in g/cm³: 7.5
Calculated formation energy in kJ/mol of atoms: 10.6
Energy in eV/f.u.: -87.089
Polymorph energy (0 for the lowest one) in eV/f.u.: 0.00
M_tot in μB/f.u.: 0.0
Density of states at the Fermi level in states/eV/cell: 94.91



Record 7
Entry from the Alexandria database: crystalline La12Tb5Pr2 at its relaxed geometry (PBE-GGA).

```
data_La12Tb5Pr2
_cell_length_a 18.368
_cell_length_b 11.891
_cell_length_c 6.330
_cell_angle_alpha 90.00
_cell_angle_beta 102.18
_cell_angle_gamma 90.00
_space_group_name_H-M_alt 'C 1 2/m 1'
_space_group_IT_number 12
_space_group_name_Hall '-C 2y'
loop_
_atom_site_label
_atom_site_type_symbol
_atom_site_fract_x
_atom_site_fract_y
_atom_site_fract_z
La1 La 0.056 0.000 0.271
La2 La 0.106 0.250 0.620
La3 La 0.117 0.500 0.004
La4 La 0.197 0.239 0.200
Tb1 Tb 0.000 0.500 0.500
Tb2 Tb 0.182 0.000 0.858
Tb3 Tb 0.215 0.500 0.556
Pr1 Pr 0.000 0.267 0.000
```

Results
Calculated density in g/cm³: 6.7
Calculated formation energy in kJ/mol of atoms: 8.1
Energy in eV/f.u.: -90.236
Polymorph energy (0 for the lowest one) in eV/f.u.: 0.00
M_tot in μB/f.u.: 0.0
Density of states at the Fermi level in states/eV/cell: 54.13



Record 8
Entry from the Alexandria database: crystalline La2Tb3Pr at its relaxed geometry (PBE-GGA).

```
data_La2Tb3Pr
_cell_length_a 11.814
_cell_length_b 12.404
_cell_length_c 6.503
_cell_angle_alpha 90.00
_cell_angle_beta 90.00
_cell_angle_gamma 90.00
_space_group_name_H-M_alt 'I b a m'
_space_group_IT_number 72
_space_group_name_Hall '-I 2 2c'
loop_
_atom_site_label
_atom_site_type_symbol
_atom_site_fract_x
_atom_site_fract_y
_atom_site_fract_z
La1 La 0.243 0.146 0.000
Tb1 Tb 0.000 0.000 0.250
Tb2 Tb 0.000 0.259 0.250
Pr1 Pr 0.000 0.500 0.000
```

Results
Calculated density in g/cm³: 6.2
Calculated formation energy in kJ/mol of atoms: 50.2
Energy in eV/f.u.: -25.405
Polymorph energy (0 for the lowest one) in eV/f.u.: 0.87
M_tot in μB/f.u.: 0.0
Density of states at the Fermi level in states/eV/cell: 45.08



Record 9
Entry from the Alexandria database: crystalline LaTbPr2 at its relaxed geometry (PBE-GGA).

```
data_LaTbPr2
_cell_length_a 3.692
_cell_length_b 5.235
_cell_length_c 7.312
_cell_angle_alpha 90.00
_cell_angle_beta 90.00
_cell_angle_gamma 90.00
_space_group_name_H-M_alt 'P m m m'
_space_group_IT_number 47
_space_group_name_Hall '-P 2 2'
loop_
_atom_site_label
_atom_site_type_symbol
_atom_site_fract_x
_atom_site_fract_y
_atom_site_fract_z
La1 La 0.000 0.000 0.000
Tb1 Tb 0.000 0.000 0.500
Pr1 Pr 0.500 0.500 0.255
```

Results
Calculated density in g/cm³: 6.8
Calculated formation energy in kJ/mol of atoms: 1.4
Energy in eV/f.u.: -19.059
Polymorph energy (0 for the lowest one) in eV/f.u.: 0.00
M_tot in μB/f.u.: 0.0
Density of states at the Fermi level in states/eV/cell: 6.09



Record 10
Entry from the Alexandria database: crystalline LaTbPr at its relaxed geometry (PBE-GGA).

```
data_LaTbPr
_cell_length_a 11.577
_cell_length_b 5.203
_cell_length_c 3.684
_cell_angle_alpha 90.00
_cell_angle_beta 108.47
_cell_angle_gamma 90.00
_space_group_name_H-M_alt 'C 1 m 1'
_space_group_IT_number 8
_space_group_name_Hall 'C -2y'
loop_
_atom_site_label
_atom_site_type_symbol
_atom_site_fract_x
_atom_site_fract_y
_atom_site_fract_z
La1 La 0.000 0.000 0.000
Tb1 Tb 0.167 0.500 0.667
Pr1 Pr 0.333 0.000 0.333
```

Results
Calculated density in g/cm³: 6.9
Calculated formation energy in kJ/mol of atoms: 1.8
Energy in eV/f.u.: -14.281
Polymorph energy (0 for the lowest one) in eV/f.u.: 0.00
M_tot in μB/f.u.: 0.0
Density of states at the Fermi level in states/eV/cell: 9.09



Record 11
Entry from the Alexandria database: crystalline LaTb2Pr2 at its relaxed geometry (PBE-GGA).

```
data_LaTb2Pr2
_cell_length_a 4.281
_cell_length_b 4.281
_cell_length_c 18.961
_cell_angle_alpha 90.00
_cell_angle_beta 90.00
_cell_angle_gamma 90.00
_space_group_name_H-M_alt 'I 4/m m m'
_space_group_IT_number 139
_space_group_name_Hall '-I 4 2'
loop_
_atom_site_label
_atom_site_type_symbol
_atom_site_fract_x
_atom_site_fract_y
_atom_site_fract_z
La1 La 0.000 0.000 0.000
Tb1 Tb 0.000 0.000 0.398
Pr1 Pr 0.000 0.000 0.197
```

Results
Calculated density in g/cm³: 7.1
Calculated formation energy in kJ/mol of atoms: 9.6
Energy in eV/f.u.: -23.250
Polymorph energy (0 for the lowest one) in eV/f.u.: 0.00
M_tot in μB/f.u.: 0.0
Density of states at the Fermi level in states/eV/cell: 21.03



Record 12
Entry from the Alexandria database: crystalline La12Tb2Pr5 at its relaxed geometry (PBE-GGA).

```
data_La12Tb2Pr5
_cell_length_a 6.384
_cell_length_b 10.987
_cell_length_c 10.998
_cell_angle_alpha 66.32
_cell_angle_beta 79.46
_cell_angle_gamma 79.40
_space_group_name_H-M_alt 'P -1'
_space_group_IT_number 2
_space_group_name_Hall '-P 1'
loop_
_atom_site_label
_atom_site_type_symbol
_atom_site_fract_x
_atom_site_fract_y
_atom_site_fract_z
La1 La 0.000 0.117 0.117
La2 La 0.200 0.548 0.061
La3 La 0.201 0.060 0.548
La4 La 0.270 0.447 0.447
La5 La 0.378 0.848 0.359
La6 La 0.379 0.358 0.849
Tb1 Tb 0.002 0.232 0.767
Pr1 Pr 0.147 0.679 0.679
Pr2 Pr 0.441 0.213 0.214
Pr3 Pr 0.500 0.000 0.000
```

Results
Calculated density in g/cm³: 6.5
Calculated formation energy in kJ/mol of atoms: 7.6
Energy in eV/f.u.: -90.783
Polymorph energy (0 for the lowest one) in eV/f.u.: 0.00
M_tot in μB/f.u.: 0.0
Density of states at the Fermi level in states/eV/cell: 30.35